# FeSiSb2

FeSiSb2 after structural relaxation (PBE-GGA, Alexandria via LeMat-Bulk).

Computed properties:
Total magnetization   0.62 μB/atom
Energy relative to the elements, uncorrected   0.35 eV/atom

Cell and atoms, written as CIF:
```
data_FeSiSb2
_cell_length_a 6.4910
_cell_length_b 3.7114
_cell_length_c 7.1879
_cell_angle_alpha 90.00
_cell_angle_beta 107.23
_cell_angle_gamma 90.00
_space_group_name_H-M_alt 'C 1 2/m 1'
_space_group_IT_number 12
_space_group_name_Hall '-C 2y'
loop_
_atom_site_label
_atom_site_type_symbol
_atom_site_fract_x
_atom_site_fract_y
_atom_site_fract_z
Fe1 Fe 0.0000 0.0000 0.0000
Si1 Si 0.0000 0.5000 0.5000
Sb1 Sb 0.2454 0.5000 0.2368
```

# FeSiSb4

FeSiSb4 after structural relaxation (PBE-GGA, Alexandria via LeMat-Bulk).

Computed properties:
Total magnetization   0.53 μB/atom
Energy relative to the elements, uncorrected   0.97 eV/atom

Cell and atoms, written as CIF:
```
data_FeSiSb4
_cell_length_a 8.6226
_cell_length_b 8.6226
_cell_length_c 8.6226
_cell_angle_alpha 90.00
_cell_angle_beta 90.00
_cell_angle_gamma 90.00
_space_group_name_H-M_alt 'F -4 3 m'
_space_group_IT_number 216
_space_group_name_Hall 'F -4 2 3'
loop_
_atom_site_label
_atom_site_type_symbol
_atom_site_fract_x
_atom_site_fract_y
_atom_site_fract_z
Fe1 Fe 0.0000 0.0000 0.0000
Si1 Si 0.2500 0.2500 0.2500
Sb1 Sb 0.1248 0.1248 0.6248
```

# FeSi2Sb

FeSi2Sb after structural relaxation (PBE-GGA, Alexandria via LeMat-Bulk).

Computed properties:
Total magnetization   0.00 μB/atom
Energy relative to the elements, uncorrected   0.18 eV/atom

Cell and atoms, written as CIF:
```
data_FeSi2Sb
_cell_length_a 3.5866
_cell_length_b 3.5054
_cell_length_c 5.6684
_cell_angle_alpha 90.00
_cell_angle_beta 108.09
_cell_angle_gamma 90.00
_space_group_name_H-M_alt 'P 1 m 1'
_space_group_IT_number 6
_space_group_name_Hall 'P -2y'
loop_
_atom_site_label
_atom_site_type_symbol
_atom_site_fract_x
_atom_site_fract_y
_atom_site_fract_z
Fe1 Fe 0.0000 0.0000 0.0000
Si1 Si 0.1350 0.5000 0.2800
Si2 Si 0.6318 0.0000 0.2700
Sb1 Sb 0.3907 0.5000 0.7770
```

# Fe3SiSb

Fe3SiSb after structural relaxation (PBE-GGA, Alexandria via LeMat-Bulk).

Computed properties:
Total magnetization   0.00 μB/atom
Energy above the lowest structure with this stoichiometry   0.000 eV per atom
Energy relative to the elements, uncorrected   0.68 eV/atom

Cell and atoms, written as CIF:
```
data_Fe3SiSb
_cell_length_a 4.1699
_cell_length_b 4.1699
_cell_length_c 4.1699
_cell_angle_alpha 90.00
_cell_angle_beta 90.00
_cell_angle_gamma 90.00
_space_group_name_H-M_alt 'P m -3 m'
_space_group_IT_number 221
_space_group_name_Hall '-P 4 2 3'
loop_
_atom_site_label
_atom_site_type_symbol
_atom_site_fract_x
_atom_site_fract_y
_atom_site_fract_z
Fe1 Fe 0.0000 0.0000 0.5000
Si1 Si 0.0000 0.0000 0.0000
Sb1 Sb 0.5000 0.5000 0.5000
```

# FeSi2Sb

FeSi2Sb after structural relaxation (PBE-GGA, Alexandria via LeMat-Bulk).

Computed properties:
Total magnetization   0.21 μB/atom
Energy relative to the elements, uncorrected   0.26 eV/atom

Cell and atoms, written as CIF:
```
data_FeSi2Sb
_cell_length_a 3.0953
_cell_length_b 3.0953
_cell_length_c 24.1916
_cell_angle_alpha 90.00
_cell_angle_beta 90.00
_cell_angle_gamma 120.00
_space_group_name_H-M_alt 'R -3 m'
_space_group_IT_number 166
_space_group_name_Hall '-R 3 2"'
loop_
_atom_site_label
_atom_site_type_symbol
_atom_site_fract_x
_atom_site_fract_y
_atom_site_fract_z
Fe1 Fe 0.0000 0.0000 0.0000
Si1 Si 0.0000 0.0000 0.2702
Sb1 Sb 0.0000 0.0000 0.5000
```

# FeSiSb2

FeSiSb2 after structural relaxation (PBE-GGA, Alexandria via LeMat-Bulk).

Computed properties:
Total magnetization   0.70 μB/atom
Energy relative to the elements, uncorrected   0.40 eV/atom

Cell and atoms, written as CIF:
```
data_FeSiSb2
_cell_length_a 6.0506
_cell_length_b 6.0506
_cell_length_c 11.8467
_cell_angle_alpha 90.00
_cell_angle_beta 90.00
_cell_angle_gamma 90.00
_space_group_name_H-M_alt 'I -4 2 d'
_space_group_IT_number 122
_space_group_name_Hall 'I -4 2bw'
loop_
_atom_site_label
_atom_site_type_symbol
_atom_site_fract_x
_atom_site_fract_y
_atom_site_fract_z
Fe1 Fe 0.0000 0.0000 0.0000
Si1 Si 0.0000 0.0000 0.5000
Sb1 Sb 0.2378 0.2500 0.1250
```

# FeSi2Sb

FeSi2Sb after structural relaxation (PBE-GGA, Alexandria via LeMat-Bulk).

Computed properties:
Total magnetization   0.00 μB/atom
Energy relative to the elements, uncorrected   0.06 eV/atom

Cell and atoms, written as CIF:
```
data_FeSi2Sb
_cell_length_a 8.0430
_cell_length_b 2.9731
_cell_length_c 6.0306
_cell_angle_alpha 90.00
_cell_angle_beta 108.85
_cell_angle_gamma 90.00
_space_group_name_H-M_alt 'C 1 m 1'
_space_group_IT_number 8
_space_group_name_Hall 'C -2y'
loop_
_atom_site_label
_atom_site_type_symbol
_atom_site_fract_x
_atom_site_fract_y
_atom_site_fract_z
Fe1 Fe 0.0000 0.0000 0.0000
Si1 Si 0.2796 0.0000 0.9880
Si2 Si 0.4524 0.0000 0.6920
Sb1 Sb 0.1398 0.5000 0.3829
```

# FeSiSb2

FeSiSb2 after structural relaxation (PBE-GGA, Alexandria via LeMat-Bulk).

Computed properties:
Total magnetization   0.00 μB/atom
Energy relative to the elements, uncorrected   0.19 eV/atom

Cell and atoms, written as CIF:
```
data_FeSiSb2
_cell_length_a 4.1833
_cell_length_b 4.8989
_cell_length_c 7.8443
_cell_angle_alpha 90.00
_cell_angle_beta 90.00
_cell_angle_gamma 90.00
_space_group_name_H-M_alt 'A m m 2'
_space_group_IT_number 38
_space_group_name_Hall 'A 2 -2'
loop_
_atom_site_label
_atom_site_type_symbol
_atom_site_fract_x
_atom_site_fract_y
_atom_site_fract_z
Fe1 Fe 0.0000 0.0000 0.0000
Si1 Si 0.5000 0.0000 0.8750
Sb1 Sb 0.0000 0.0000 0.6249
Sb2 Sb 0.5000 0.0000 0.2148
```

What did the second record say?
# FeSiSb4

FeSiSb4 after structural relaxation (PBE-GGA, Alexandria via LeMat-Bulk).

Computed properties:
Total magnetization   0.53 μB/atom
Energy relative to the elements, uncorrected   0.97 eV/atom

Cell and atoms, written as CIF:
```
data_FeSiSb4
_cell_length_a 8.6226
_cell_length_b 8.6226
_cell_length_c 8.6226
_cell_angle_alpha 90.00
_cell_angle_beta 90.00
_cell_angle_gamma 90.00
_space_group_name_H-M_alt 'F -4 3 m'
_space_group_IT_number 216
_space_group_name_Hall 'F -4 2 3'
loop_
_atom_site_label
_atom_site_type_symbol
_atom_site_fract_x
_atom_site_fract_y
_atom_site_fract_z
Fe1 Fe 0.0000 0.0000 0.0000
Si1 Si 0.2500 0.2500 0.2500
Sb1 Sb 0.1248 0.1248 0.6248
```

Which formula does entry 1 have? FeSiSb2